# Tb6Ir5Rh | Alexandria via LeMat-Bulk | PBE | optimized geometry
# Calculated total energy in eV/cell: -178.06
# V in Å³/atom: 20.4
data_Tb6Ir5Rh
_cell_length_a 4.779
_cell_length_b 7.152
_cell_length_c 14.316
_cell_angle_alpha 90.00
_cell_angle_beta 90.00
_cell_angle_gamma 90.00
_space_group_name_H-M_alt 'I m m m'
_space_group_IT_number 71
_space_group_name_Hall '-I 2 2'
loop_
_atom_site_label
_atom_site_fract_x
_atom_site_fract_y
_atom_site_fract_z
_atom_site_occupancy
Tb1 0.000 0.249 0.000 1
Tb2 0.000 0.250 0.333 1
Ir1 0.000 0.000 0.167 1
Ir2 0.000 0.500 0.166 1
Ir3 0.000 0.500 0.500 1
Rh1 0.000 0.000 0.500 1

=====

# Nd2ScPt | Alexandria via LeMat-Bulk | PBE | optimized geometry
# Calculated total energy in eV/cell: -23.77
# Energy relative to the lowest polymorph listed for this composition in meV per atom: 0.0
# V in Å³/atom: 26.5
data_Nd2ScPt
_cell_length_a 3.745
_cell_length_b 3.745
_cell_length_c 7.571
_cell_angle_alpha 90.00
_cell_angle_beta 90.00
_cell_angle_gamma 90.00
_space_group_name_H-M_alt 'P 4/m m m'
_space_group_IT_number 123
_space_group_name_Hall '-P 4 2'
loop_
_atom_site_label
_atom_site_fract_x
_atom_site_fract_y
_atom_site_fract_z
_atom_site_occupancy
Nd1 0.000 0.000 0.219 1
Sc1 0.500 0.500 0.500 1
Pt1 0.500 0.500 0.000 1

=====

# Nb2CuAg | Alexandria via LeMat-Bulk | PBE | optimized geometry
# Calculated total energy in eV/cell: -76.10
# V in Å³/atom: 17.6
data_Nb2CuAg
_cell_length_a 2.7865
_cell_length_b 2.7865
_cell_length_c 31.4898
_cell_angle_alpha 90.00
_cell_angle_beta 90.00
_cell_angle_gamma 120.00
_space_group_name_H-M_alt 'R -3 m'
_space_group_IT_number 166
_space_group_name_Hall '-R 3 2"'
loop_
_atom_site_label
_atom_site_fract_x
_atom_site_fract_y
_atom_site_fract_z
_atom_site_occupancy
Nb1 0.0000 0.0000 0.0926 1
Cu1 0.0000 0.0000 0.5000 1
Ag1 0.0000 0.0000 0.0000 1

=====

# TbHo2Ga2Ag2 | Alexandria via LeMat-Bulk | PBE | optimized geometry
# Calculated total energy in eV/cell: -84.41
# V in Å³/atom: 23.3
data_TbHo2Ga2Ag2
_cell_length_a 4.6047
_cell_length_b 4.6047
_cell_length_c 26.6709
_cell_angle_alpha 90.00
_cell_angle_beta 90.00
_cell_angle_gamma 120.00
_space_group_name_H-M_alt 'R -3 m'
_space_group_IT_number 166
_space_group_name_Hall '-R 3 2"'
loop_
_atom_site_label
_atom_site_fract_x
_atom_site_fract_y
_atom_site_fract_z
_atom_site_occupancy
Tb1 0.0000 0.0000 0.0000 1
Ho1 0.0000 0.0000 0.1260 1
Ga1 0.0000 0.0000 0.2573 1
Ag1 0.0000 0.0000 0.3996 1